Record 1
LiTc2Os: relaxed, GGA-PBE.

uncorrected energy = -8.2666 eV per atom
size of the total moment = 0.000 μB/atom
ΔH_f (0 K) = 202 meV/atom
polymorph energy (0 for the lowest one) = 0.040 eV/atom

Structure (extended XYZ):
```
4
Lattice="2.699 0.000 0.000 0.000 3.971 0.000 0.000 0.000 5.129" Properties=species:S:1:pos:R:3 pbc="T T T"
Li 0.000 0.000 0.000
Tc 1.350 1.986 1.216
Tc 1.350 1.986 3.913
Os 0.000 0.000 2.565
```


Record 2
CoCuGePd: relaxed, GGA-PBE.

uncorrected energy = -5.3723 eV per atom
size of the total moment = 0.180 μB/atom
ΔH_f (0 K) = -119 meV/atom

Structure (extended XYZ):
```
4
Lattice="0.000 2.967 2.967 2.967 0.000 2.967 2.967 2.967 0.000" Properties=species:S:1:pos:R:3 pbc="T T T"
Co 0.000 0.000 0.000
Cu 4.451 4.451 4.451
Ge 1.484 1.484 1.484
Pd 2.967 2.967 2.967
```


Record 3
Hf4H2Pb: relaxed, GGA-PBE.

uncorrected energy = -7.2753 eV per atom
size of the total moment = 0.000 μB/atom

Structure (extended XYZ):
```
14
Lattice="3.252 -5.186 0.000 3.252 5.186 0.000 -3.246 0.000 7.110" Properties=species:S:1:pos:R:3 pbc="T T T"
Hf -0.014 1.973 2.838
Hf 1.629 4.584 3.555
Hf -0.018 0.622 5.727
Hf -1.637 -1.973 6.393
Hf 3.249 1.988 1.458
Hf 1.605 -0.622 2.172
Hf 1.626 -1.988 5.013
Hf 3.252 -4.584 0.000
H -0.270 0.158 2.037
H -1.893 -0.158 5.592
H -0.265 2.445 6.528
H 1.358 -2.445 2.973
Pb 2.576 1.298 4.283
Pb 4.198 -1.298 0.728
```